Here is a relaxed SmGaAu crystal from OQMD via LeMat-Bulk. Energies are from PBE.

Cell lengths 4.8555, 4.8555, 4.8555 Å; angles 60.00, 60.00, 60.00 degrees
Last column: nearest neighbours and their distance in Å.
Positions (direct):
Sm (0.0000, 0.0000, 0.0000)  4 Au 2.97, 4 Ga 2.97
Ga (0.2500, 0.2500, 0.2500)  4 Sm 2.97
Au (0.7500, 0.7500, 0.7500)  4 Sm 2.97

Summary:
Final energy   -11.66 eV/cell